First-principles (GGA+U) data for a geometry-optimized NiSbOsO structure, as listed in the Alexandria database.

Calculated values
Final energy in Ry per atom: -0.399
Total moment in μB per cell: 1.1
Crystal system: orthorhombic
V in Å³ per atom: 17.26
Distance to the lowest polymorph of the same formula in meV per atom: 200.0

a = 2.785 Å, b = 6.949 Å, c = 6.949 Å
α = 30.88°, β = 90.00°, γ = 90.00°
Sites, in units of the cell vectors:
Ni 0.000 0.000 0.000
Sb 0.500 0.623 0.623
Os 0.500 0.412 0.412
O 0.000 0.309 0.309